The following is a DFT calculation (GGA-PBE) of CsInHg after structural relaxation.

Values from the calculation:
Energy above the most stable polymorph in this dataset = 0.227 eV/atom
Total energy = -0.977 eV/atom

Cell lengths 8.531, 8.531, 8.531 Å; angles 90.00, 90.00, 90.00 degrees
Atoms (fractional coordinates):
Cs (0.000, 0.000, 0.000)
Cs (0.000, 0.500, 0.500)
Cs (0.500, 0.000, 0.500)
Cs (0.500, 0.500, 0.000)
In (0.250, 0.250, 0.250)
In (0.250, 0.750, 0.750)
In (0.750, 0.250, 0.750)
In (0.750, 0.750, 0.250)
Hg (0.250, 0.250, 0.750)
Hg (0.250, 0.750, 0.250)
Hg (0.750, 0.250, 0.250)
Hg (0.750, 0.750, 0.750)